No. 1
ZrRu2Pt: relaxed, GGA-PBEsol.

Cell lengths 4.4597, 4.4597, 4.4597 Å; angles 60.00, 60.00, 60.00 degrees
Last column: magnetic moment on the atom in μB.
Fractional coordinates of all 4 atoms:
Pt: 0.5000 0.5000 0.5000  0.01
Ru: 0.0000 0.0000 0.0000  0.27
Ru: 0.7500 0.7500 0.7500  0.21
Zr: 0.2500 0.2500 0.2500  -0.01

Formation energy   -0.07 eV per atom
SG   F-43m (216)
D(E_F)   5.9 states/eV per cell
Total magnetization   0.49 μB/f.u.


No. 2
CdCuOs2: relaxed, GGA-PBEsol.

Cell lengths 2.8004, 2.8004, 7.4447 Å; angles 90.00, 90.00, 90.00 degrees
Fractional coordinates of all 4 atoms:
Cd: 0.0000 0.0000 0.5111
Cu: 0.5000 0.5000 0.7649
Os: 0.0000 0.0000 0.0012
Os: 0.5000 0.5000 0.2229

Formation energy   0.23 eV per atom
SG   P4mm (99)
D(E_F)   1.8 states/eV per cell
Total magnetization   0.00 μB/f.u.


No. 3
CsCuNi2N: relaxed, GGA-PBEsol.

Cell lengths 3.7217, 3.7217, 5.8349 Å; angles 90.00, 90.00, 90.00 degrees
Fractional coordinates of all 5 atoms:
Cs: 0.0000 0.0000 0.5000
Ni: 0.0000 0.5000 0.0000
Ni: 0.5000 0.0000 0.0000
Cu: 0.5000 0.5000 0.5000
N: 0.0000 0.0000 0.0000

ΔE_f (raw)   0.730 eV per atom
SG   P4/mmm (123)
D(E_F)   4.5 states/eV per cell
Total magnetization   0.01 μB/f.u.


No. 4
La3MgH: relaxed, GGA-PBEsol.

Cell lengths 5.0718, 5.0718, 5.0718 Å; angles 90.00, 90.00, 90.00 degrees
Fractional coordinates of all 5 atoms:
H: 0.0000 0.0000 0.0000
Mg: 0.5000 0.5000 0.5000
La: 0.0000 0.5000 0.0000
La: 0.0000 0.0000 0.5000
La: 0.5000 0.0000 0.0000

Total DFT energy (no corrections)   -21.910 eV per formula unit
SG   Pm-3m (221)
D(E_F)   6.6 states/eV per cell
Total magnetization   0.00 μB/f.u.


Q: D(E_F) of number 4 (La3MgH)?
A: 6.6 states/eV per cell


Q: total magnetization of number 2 (CdCuOs2)?
A: 0.00 μB/f.u.